The following is a GGA-PBE calculation of a relaxed Cs2ThAl2O6 crystal, from Alexandria via LeMat-Bulk.

abc: 6.202 6.201 7.554
angles: 114.14 90.00 120.00
Fractional positions:
O 0.743 0.487 0.708
O 0.256 0.033 0.290
Al 0.902 0.805 0.707
Cs 0.708 0.416 0.124
O 0.744 0.967 0.710
O 0.777 0.033 0.290
Cs 0.292 0.584 0.876
Th 0.500 0.000 0.500
Al 0.098 0.195 0.293
O 0.257 0.513 0.292
O 0.223 0.967 0.710

Values from the calculation:
As for the space-group type: C2/m, No. 12. The density of states at the Fermi level is 0.0 states/eV/f.u. The calculation puts the formation energy without anion corrections at -2651.8 meV per atom.